Record 1
DFT (PBE) results for Er2HfSe after structural relaxation.

Lattice parameters (Å, degrees): 3.5452 3.5452 29.6688 90.00 90.00 120.00
Space group R-3m (No. 166, hexagonal axes)
Unique sites:
Er (0.0000, 0.0000, 0.1029) (multiplicity 6)
Hf (0.0000, 0.0000, 0.0000) (multiplicity 3)
Se (0.0000, 0.0000, 0.5000) (multiplicity 3)

Values from the calculation:
Formation energy from raw total energies (eV/f.u.): -1.1
Total moment (μB per formula unit): 1.196

Record 2
DFT (PBE) results for LuAgPd after structural relaxation.

Lattice parameters (Å, degrees): 4.6263 4.6263 3.2728 90.00 90.00 120.00
Space group P3m1 (No. 156)
Unique sites:
Lu (0.0000, 0.0000, 0.0000) (multiplicity 1)
Ag (0.6667, 0.3333, 0.5071) (multiplicity 1)
Pd (0.3333, 0.6667, 0.4885) (multiplicity 1)

Values from the calculation:
Total moment (μB per formula unit): 0.000
Formation energy from the elements (kJ/mol of formula units): -145

Record 3
DFT (PBE) results for Ta2MnZn after structural relaxation.

Lattice parameters (Å, degrees): 3.5609 4.3381 8.1485 90.00 90.00 90.00
Space group Cmmm (No. 65)
Unique sites:
Ta (0.0000, 0.0000, 0.2317) (multiplicity 4)
Mn (0.0000, 0.5000, 0.0000) (multiplicity 2)
Zn (0.0000, 0.5000, 0.5000) (multiplicity 2)

Values from the calculation:
Total moment (μB per formula unit): 1.400
Formation energy from the elements (kJ/mol of formula units): 35

Record 4
DFT (PBE) results for CaPr2Dy3 after structural relaxation.

Lattice parameters (Å, degrees): 6.7492 6.7492 10.9623 90.00 90.00 120.00
Space group P-3m1 (No. 164)
Unique sites:
Ca (0.3333, 0.6667, 0.4369) (multiplicity 2)
Pr (0.0000, 0.0000, 0.0000) (multiplicity 1)
Pr (0.0000, 0.0000, 0.5000) (multiplicity 1)
Pr (0.3333, 0.6667, 0.0772) (multiplicity 2)
Dy (0.1688, 0.3377, 0.7580) (multiplicity 6)

Values from the calculation:
Total moment (μB per formula unit): 0.001
Formation energy from the elements (kJ/mol of formula units): 124

Record 5
DFT (PBE) results for TaPbNF2 after structural relaxation.

Lattice parameters (Å, degrees): 4.3613 4.3613 4.0540 90.00 90.00 90.00
Space group P4/mmm (No. 123)
Unique sites:
Ta (0.0000, 0.0000, 0.0000) (multiplicity 1)
Pb (0.5000, 0.5000, 0.5000) (multiplicity 1)
N (0.0000, 0.0000, 0.5000) (multiplicity 1)
F (0.0000, 0.5000, 0.0000) (multiplicity 2)

Values from the calculation:
Formation energy from raw total energies (eV/f.u.): -5.9
Total moment (μB per formula unit): 1.089

Record 6
DFT (PBE) results for Na8Sb2Se after structural relaxation.

Lattice parameters (Å, degrees): 17.6242 5.3234 7.0220 90.00 113.44 90.00
Space group C2/m (No. 12)
Unique sites:
Na (0.0005, 0.0000, 0.2409) (multiplicity 4)
Na (0.1400, 0.5000, 0.8975) (multiplicity 4)
Na (0.1417, 0.5000, 0.3872) (multiplicity 4)
Na (0.1991, 0.0000, 0.7019) (multiplicity 4)
Sb (0.1749, 0.0000, 0.1750) (multiplicity 4)
Se (0.0000, 0.5000, 0.5000) (multiplicity 2)

Values from the calculation:
Formation energy from raw total energies (eV/f.u.): -6.3
Total moment (μB per formula unit): 0.000

Record 7
DFT (PBE) results for Cu2TcI after structural relaxation.

Lattice parameters (Å, degrees): 3.1946 3.3419 13.6357 90.00 90.00 90.00
Space group Imm2 (No. 44)
Unique sites:
Cu (0.0000, 0.0000, 0.0000) (multiplicity 2)
Cu (0.0000, 0.0000, 0.4098) (multiplicity 2)
Tc (0.0000, 0.0000, 0.8150) (multiplicity 2)
I (0.0000, 0.5000, 0.1618) (multiplicity 2)

Values from the calculation:
Formation energy from raw total energies (eV/f.u.): 2.5
Total moment (μB per formula unit): 0.824

Record 8
DFT (PBE) results for TlRh2Au after structural relaxation.

Lattice parameters (Å, degrees): 2.9825 2.9825 7.9762 90.00 90.00 90.00
Space group P4mm (No. 99)
Unique sites:
Tl (0.0000, 0.0000, 0.0000) (multiplicity 1)
Rh (0.0000, 0.0000, 0.5379) (multiplicity 1)
Rh (0.5000, 0.5000, 0.7442) (multiplicity 1)
Au (0.5000, 0.5000, 0.2961) (multiplicity 1)

Values from the calculation:
Total moment (μB per formula unit): 1.499
Formation energy from the elements (kJ/mol of formula units): 86

Record 9
DFT (PBE) results for TaNb2Ru after structural relaxation.

Lattice parameters (Å, degrees): 7.3876 7.3876 5.3989 90.00 90.00 90.00
Space group I-42d (No. 122)
Unique sites:
Ta (0.0000, 0.0000, 0.0000) (multiplicity 4)
Nb (0.2249, 0.7500, 0.6250) (multiplicity 8)
Ru (0.0000, 0.0000, 0.5000) (multiplicity 4)

Values from the calculation:
Total moment (μB per formula unit): 0.000
Formation energy from the elements (kJ/mol of formula units): 158

Record 10
DFT (PBE) results for BeCdMo2 after structural relaxation.

Lattice parameters (Å, degrees): 3.7463 3.7463 8.7406 90.00 90.00 90.00
Space group I4/mmm (No. 139)
Unique sites:
Be (0.0000, 0.0000, 0.0000) (multiplicity 2)
Cd (0.0000, 0.0000, 0.5000) (multiplicity 2)
Mo (0.0000, 0.5000, 0.2500) (multiplicity 4)

Values from the calculation:
Total moment (μB per formula unit): 0.000
Formation energy from the elements (kJ/mol of formula units): 157

Record 11
DFT (PBE) results for UPaFeRu after structural relaxation.

Lattice parameters (Å, degrees): 6.5111 6.5111 6.5111 90.00 90.00 90.00
Space group F-43m (No. 216)
Unique sites:
U (0.0000, 0.0000, 0.0000) (multiplicity 4)
Pa (0.2500, 0.2500, 0.2500) (multiplicity 4)
Fe (0.0000, 0.0000, 0.5000) (multiplicity 4)
Ru (0.2500, 0.2500, 0.7500) (multiplicity 4)

Values from the calculation:
Total moment (μB per formula unit): 0.703
Formation energy from the elements (kJ/mol of formula units): -59

Record 12
DFT (PBE) results for Er7BI12 after structural relaxation.

Lattice parameters (Å, degrees): 15.4655 15.4655 10.3230 90.00 90.00 120.00
Space group R-3 (No. 148, hexagonal axes)
Unique sites:
Er (0.0000, 0.0000, 0.0000) (multiplicity 3)
Er (0.0419, 0.8917, 0.3604) (multiplicity 18)
B (0.0000, 0.0000, 0.5000) (multiplicity 3)
I (0.0239, 0.4375, 0.1631) (multiplicity 18)
I (0.0518, 0.8690, 0.8363) (multiplicity 18)

Values from the calculation:
Formation energy from raw total energies (eV/f.u.): -23.4
Total moment (μB per formula unit): 1.930

Record 13
DFT (PBE) results for Ca2CdTe after structural relaxation.

Lattice parameters (Å, degrees): 4.1064 4.4967 14.4251 90.00 90.00 90.00
Space group Imm2 (No. 44)
Unique sites:
Ca (0.0000, 0.0000, 0.0000) (multiplicity 2)
Ca (0.0000, 0.5000, 0.2446) (multiplicity 2)
Cd (0.0000, 0.5000, 0.8269) (multiplicity 2)
Te (0.0000, 0.0000, 0.5716) (multiplicity 2)

Values from the calculation:
Formation energy from raw total energies (eV/f.u.): -3.0
Total moment (μB per formula unit): 0.000

Record 14
DFT (PBE) results for SrTlPO4 after structural relaxation.

Lattice parameters (Å, degrees): 6.1824 5.5095 7.9141 90.00 102.32 90.00
Space group P2_1/m (No. 11)
Unique sites:
Sr (0.2443, 0.2500, 0.0763) (multiplicity 2)
Tl (0.2463, 0.2500, 0.5923) (multiplicity 2)
P (0.2374, 0.7500, 0.8406) (multiplicity 2)
O (0.0824, 0.5219, 0.8167) (multiplicity 4)
O (0.3806, 0.7500, 0.0287) (multiplicity 2)
O (0.3895, 0.7500, 0.7077) (multiplicity 2)

Values from the calculation:
Formation energy from raw total energies (eV/f.u.): -16.4
Total moment (μB per formula unit): 0.000

Record 15
DFT (PBE) results for NdBe4As3O12 after structural relaxation.

Lattice parameters (Å, degrees): 9.9324 9.9324 7.5206 90.00 90.00 120.00
Space group R32 (No. 155, hexagonal axes)
Unique sites:
Nd (0.0000, 0.0000, 0.0000) (multiplicity 3)
Be (0.0000, 0.0000, 0.5000) (multiplicity 3)
Be (0.0000, 0.4371, 0.5000) (multiplicity 9)
As (0.0000, 0.5560, 0.0000) (multiplicity 9)
O (0.0000, 0.5956, 0.5000) (multiplicity 9)
O (0.0000, 0.8418, 0.5000) (multiplicity 9)
O (0.0430, 0.2166, 0.1898) (multiplicity 18)

Values from the calculation:
Formation energy from raw total energies (eV/f.u.): -37.8
Total moment (μB per formula unit): 0.000

Record 16
DFT (PBE) results for LiPr3Hg4 after structural relaxation.

Lattice parameters (Å, degrees): 5.2949 5.2949 26.7820 90.00 90.00 120.00
Space group R-3m (No. 166, hexagonal axes)
Unique sites:
Li (0.0000, 0.0000, 0.0000) (multiplicity 3)
Pr (0.0000, 0.0000, 0.2561) (multiplicity 6)
Pr (0.0000, 0.0000, 0.5000) (multiplicity 3)
Hg (0.0000, 0.0000, 0.1218) (multiplicity 6)
Hg (0.0000, 0.0000, 0.3734) (multiplicity 6)

Values from the calculation:
Total moment (μB per formula unit): 0.000
Formation energy from the elements (kJ/mol of formula units): -342